w) Entry from Alexandria via LeMat-Bulk: a geometry-optimized Pm3Pr2Nd structure (GGA-PBE).

Structure (extended XYZ):
```
12
Lattice="5.511 -5.513 0.000 5.511 5.513 0.000 0.000 0.000 6.862" Properties=species:S:1:pos:R:3 pbc="T T T"
Pm 5.511 4.454 5.147
Pm 2.752 0.000 0.000
Pm 2.752 0.000 3.431
Pm 8.270 0.000 0.000
Pm 8.270 0.000 3.431
Pm 5.511 -4.454 1.716
Pr 3.847 2.760 1.716
Pr 7.175 2.760 1.716
Pr 3.847 -2.760 5.147
Pr 7.175 -2.760 5.147
Nd 5.511 1.077 5.147
Nd 5.511 -1.077 1.716
```

Properties
- spin magnetization (μB per formula unit) = 0.0

=====

x) Entry from Alexandria via LeMat-Bulk: a geometry-optimized Pm3Pr2Nd structure (GGA-PBE).

Structure (extended XYZ):
```
6
Lattice="9.208 -1.756 0.000 9.208 1.756 0.000 -1.516 0.000 6.554" Properties=species:S:1:pos:R:3 pbc="T T T"
Pm 0.000 0.000 0.000
Pm 2.617 0.000 2.342
Pm 14.283 0.000 4.212
Pr 6.000 0.000 0.973
Pr 10.900 0.000 5.581
Nd -0.758 0.000 3.277
```

Properties
- spin magnetization (μB per formula unit) = 0.0

=====

Stability comparison, relative energies in eV/atom: w) 0.036; x) 0.000

=====

w) Entry from Alexandria via LeMat-Bulk: a geometry-optimized PmPr3Nd structure (GGA-PBE).

Structure (extended XYZ):
```
10
Lattice="3.050 -4.869 0.000 3.050 4.869 0.000 0.000 0.000 12.213" Properties=species:S:1:pos:R:3 pbc="T T T"
Pm 3.050 2.901 9.160
Pm 3.050 -2.901 3.053
Pr 3.050 3.466 1.209
Pr 3.050 3.466 4.897
Pr 3.050 0.490 3.053
Pr 3.050 -0.490 9.160
Pr 3.050 -3.466 7.316
Pr 3.050 -3.466 11.004
Nd 3.050 0.000 0.000
Nd 3.050 0.000 6.107
```

Properties
- spin magnetization (μB per formula unit) = 0.0

=====

x) Entry from Alexandria via LeMat-Bulk: a geometry-optimized PmPr3Nd structure (GGA-PBE).

Structure (extended XYZ):
```
10
Lattice="5.553 0.000 0.000 0.000 7.464 0.000 0.000 0.000 8.699" Properties=species:S:1:pos:R:3 pbc="T T T"
Pm 1.388 1.866 0.528
Pm 4.165 5.598 8.171
Pr 1.388 1.866 3.896
Pr 1.388 4.020 6.568
Pr 1.388 7.176 6.568
Pr 4.165 0.288 2.131
Pr 4.165 3.444 2.131
Pr 4.165 5.598 4.803
Nd 1.388 5.598 2.043
Nd 4.165 1.866 6.657
```

Properties
- spin magnetization (μB per formula unit) = 0.0

=====

Stability comparison, relative energies in eV/atom: w) 0.025; x) 0.000

=====

w) Entry from Alexandria via LeMat-Bulk: a geometry-optimized Pm12Pr2Nd5 structure (GGA-PBE).

Structure (extended XYZ):
```
19
Lattice="8.028 -4.704 0.000 8.028 4.704 0.000 -0.445 0.000 8.886" Properties=species:S:1:pos:R:3 pbc="T T T"
Pm 0.767 0.000 3.062
Pm 5.769 2.865 2.849
Pm 5.326 1.692 6.736
Pm 9.843 2.865 6.037
Pm 6.836 0.000 1.087
Pm 10.285 1.692 2.150
Pm 5.326 -1.692 6.736
Pm 8.775 0.000 7.800
Pm 5.769 -2.865 2.849
Pm 10.285 -1.692 2.150
Pm 9.843 -2.865 6.037
Pm 14.844 0.000 5.824
Pr 8.028 3.096 0.000
Pr 8.028 -3.096 0.000
Nd 3.378 0.000 0.308
Nd 4.105 0.000 3.841
Nd 7.806 0.000 4.443
Nd 11.506 0.000 5.045
Nd 12.233 0.000 8.579
```

Properties
- spin magnetization (μB per formula unit) = 0.0

=====

x) Entry from Alexandria via LeMat-Bulk: a geometry-optimized Pm12Pr2Nd5 structure (GGA-PBE).

Structure (extended XYZ):
```
19
Lattice="8.115 -5.188 0.000 8.115 5.188 0.000 -8.108 0.000 8.136" Properties=species:S:1:pos:R:3 pbc="T T T"
Pm -0.793 2.635 5.667
Pm -1.649 0.000 3.235
Pm 5.657 2.634 0.805
Pm 2.465 2.634 7.331
Pm 1.593 0.000 4.891
Pm 8.915 2.635 2.469
Pm -0.793 -2.635 5.667
Pm 6.529 0.000 3.245
Pm 5.657 -2.634 0.805
Pm 2.465 -2.634 7.331
Pm 9.770 0.000 4.901
Pm 8.915 -2.635 2.469
Pr 4.061 2.596 4.068
Pr 4.061 -2.596 4.068
Nd 0.000 0.000 0.000
Nd -3.218 0.000 6.542
Nd 3.233 0.000 1.662
Nd 4.889 0.000 6.474
Nd 11.340 0.000 1.595
```

Properties
- spin magnetization (μB per formula unit) = 0.0

=====

Stability comparison, relative energies in eV/atom: w) 0.020; x) 0.000